{"formula": "V2GaO6", "functional": "PBE with a Hubbard U", "state": "relaxed", "lattice": [[4.979, -1.710, 0.000], [4.979, 1.710, 0.000], [-0.593, 0.000, 7.005]], "species": ["V", "V", "Ga", "O", "O", "O", "O", "O", "O"], "frac_coords": [[0.000, 0.000, 0.000], [0.515, 0.515, 0.378], [0.276, 0.276, 0.710], [0.054, 0.054, 0.290], [0.146, 0.146, 0.890], [0.365, 0.365, 0.476], [0.448, 0.448, 0.087], [0.641, 0.641, 0.559], [0.860, 0.860, 0.799]], "magmom_total_mub_per_cell": 1.00, "spacegroup": "No. 8", "volume_a3_per_atom": 13.25, "polymorph_energy_ev_per_atom": 0.000}